An optimized crystal structure of Ti2CoAuN, computed with PBE.

Cell lengths 4.1330, 4.1330, 3.8340 Å; angles 90.00, 90.00, 90.00 degrees
With the nearest neighbours (Å) after each atom.
Space group P4/mmm (No. 123)
Asymmetric unit:
Ti 0.0000 0.5000 0.0000 (multiplicity 2)  2 N 2.07
Co 0.0000 0.0000 0.5000 (multiplicity 1)  2 N 1.92
Au 0.5000 0.5000 0.5000 (multiplicity 1)  8 Ti 2.82, 4 Co 2.92
N 0.0000 0.0000 0.0000 (multiplicity 1)  2 Co 1.92, 4 Ti 2.07

Its uncorrected formation energy is -751 meV per atom. The total magnetization is 0.9 μB per cell. The value obtained for the final energy is -7.650 eV per atom. Its density of states at the Fermi level is 4.94 states/eV/f.u.

---

An optimized crystal structure of Li5P2Pd, computed with PBE.

Cell lengths 4.3091, 4.3091, 16.0920 Å; angles 90.00, 90.00, 120.00 degrees
With the nearest neighbours (Å) after each atom.
Space group P6_3/mmc (No. 194)
Asymmetric unit:
Li 0.0000 0.0000 0.1442 (multiplicity 4)  3 P 2.56
Li 0.3333 0.6667 0.0483 (multiplicity 4)  4 P 2.50-2.66
Li 0.3333 0.6667 0.2500 (multiplicity 2)  3 Pd 2.49
P 0.3333 0.6667 0.6074 (multiplicity 4)  1 Pd 2.30, 4 Li 2.50-2.56
Pd 0.3333 0.6667 0.7500 (multiplicity 2)  2 P 2.30, 3 Li 2.49

The formation enthalpy at 0 K is -0.5873 eV per atom. The total magnetization is 0.0 μB per cell. The value obtained for the final energy is -3.785 eV per atom. Its density of states at the Fermi level is 2.32 states/eV/f.u.

---

An optimized crystal structure of Dy5Ni2Au2, computed with PBE.

Cell lengths 15.3792, 7.2441, 7.5316 Å; angles 90.00, 90.00, 90.00 degrees
With the nearest neighbours (Å) after each atom.
Space group Cmce (No. 64)
Asymmetric unit:
Dy 0.0000 0.0000 0.0000 (multiplicity 4)  4 Ni 2.92-3.00, 2 Au 3.22
Dy 0.1305 0.1722 0.3242 (multiplicity 16)  3 Ni 2.93-3.02, 3 Au 2.98-3.07
Ni 0.0000 0.1164 0.6183 (multiplicity 8)  1 Ni 2.45
Au 0.2091 0.0000 0.0000 (multiplicity 8)  7 Dy 2.98-3.22

The formation enthalpy at 0 K is -0.5655 eV per atom. The total magnetization is 0.0 μB per cell. The value obtained for the final energy is -5.135 eV per atom. Its density of states at the Fermi level is 6.72 states/eV/f.u.

---

An optimized crystal structure of ErTmAg, computed with PBE.

Cell lengths 4.9708, 4.9708, 24.2626 Å; angles 90.00, 90.00, 120.00 degrees
With the nearest neighbours (Å) after each atom.
Space group R-3m (No. 166, hexagonal axes)
Asymmetric unit:
Er 0.0000 0.0000 0.1247 (multiplicity 6)  4 Ag 3.04-3.05
Tm 0.0000 0.0000 0.3749 (multiplicity 6)  4 Ag 3.02-3.04
Ag 0.0000 0.0000 0.2504 (multiplicity 6)  4 Tm 3.02-3.04, 4 Er 3.04-3.05

The formation enthalpy at 0 K is 0.0276 eV per atom. The total magnetization is 0.0 μB per cell. For the energy above the most stable polymorph in this dataset, the calculation gives 209.5 meV/atom. The value obtained for the final energy is -3.934 eV per atom. Its density of states at the Fermi level is 3.20 states/eV/f.u.

---

What is the formula in the first record?
Ti2CoAuN